1.
The following is a DFT calculation (PBEsol) of GaGe2Bi after structural relaxation.

Values from the calculation:
Formation enthalpy at 0 K   11.6 kJ/mol of atoms
Total moment   0.0 μB/f.u.

Cell lengths 6.000, 6.000, 12.094 Å; angles 90.00, 90.00, 90.00 degrees
Space group I-42d (No. 122)
Asymmetric unit:
Ga1 0.000 0.000 0.000
Ge1 0.208 0.250 0.125
Bi1 0.000 0.000 0.500

***

2.
The following is a DFT calculation (PBEsol) of ZrScIn2 after structural relaxation.

Values from the calculation:
Excess energy over the best structure of this formula in the dataset   0.069 eV per atom
Formation enthalpy at 0 K   -35.1 kJ/mol of atoms
Total moment   0.0 μB/f.u.

Cell lengths 5.198, 5.198, 3.173 Å; angles 90.00, 90.00, 90.00 degrees
Space group P4/mmm (No. 123)
Asymmetric unit:
Zr1 0.000 0.000 0.000
Sc1 0.500 0.500 0.000
In1 0.000 0.500 0.500

***

3.
The following is a DFT calculation (PBEsol) of Na3NbO4 after structural relaxation.

Values from the calculation:
Formation energy (no corrections)   -17.32 eV per formula unit
Total moment   0.0 μB/f.u.

Cell lengths 11.125, 13.010, 5.747 Å; angles 90.00, 109.34, 90.00 degrees
Space group C2/m (No. 12)
Asymmetric unit:
Na1 0.000 0.000 0.000
Na2 0.000 0.124 0.500
Na3 0.000 0.241 0.000
Na4 0.000 0.500 0.000
Na5 0.246 0.374 0.020
Na6 0.250 0.250 0.500
Nb1 0.000 0.367 0.500
Nb2 0.239 0.000 0.470
O1 0.105 0.271 0.728
O2 0.112 0.500 0.698
O3 0.120 0.389 0.308
O4 0.145 0.109 0.267
O5 0.154 0.000 0.709

***

4.
The following is a DFT calculation (PBEsol) of SrLa2Au2 after structural relaxation.

Values from the calculation:
Formation enthalpy at 0 K   -57.7 kJ/mol of atoms
Total moment   0.0 μB/f.u.

Cell lengths 8.506, 8.506, 3.952 Å; angles 90.00, 90.00, 90.00 degrees
Space group P4/mbm (No. 127)
Asymmetric unit:
Sr1 0.000 0.000 0.000
La1 0.159 0.341 0.500
Au1 0.130 0.630 0.000

***

5.
The following is a DFT calculation (PBEsol) of TiGe2 after structural relaxation.

Values from the calculation:
Formation enthalpy at 0 K   -49.5 kJ/mol of atoms
Total moment   0.0 μB/f.u.

Cell lengths 5.004, 8.517, 8.711 Å; angles 90.00, 90.00, 90.00 degrees
Space group Fddd (No. 70, origin choice 2)
Asymmetric unit:
Ti1 0.125 0.125 0.125
Ge1 0.125 0.294 0.625

***

6.
The following is a DFT calculation (PBEsol) of TiSO5 after structural relaxation.

Values from the calculation:
Excess energy over the best structure of this formula in the dataset   0.003 eV per atom
Formation energy (no corrections)   -14.53 eV per formula unit
Total moment   0.0 μB/f.u.

Cell lengths 5.155, 13.806, 9.508 Å; angles 90.00, 90.36, 90.00 degrees
Space group C2/c (No. 15)
Asymmetric unit:
Ti1 0.000 0.088 0.250
Ti2 0.250 0.250 0.500
S1 0.248 0.108 0.934
O1 0.006 0.347 0.416
O2 0.047 0.185 0.909
O3 0.200 0.171 0.344
O4 0.221 0.031 0.832
O5 0.226 0.070 0.080